1.
Material: Nd3Sm2HoEr6
Method: DFT, GGA-PBE
State: relaxed

a b c (Å): 6.197 6.197 11.753
angles (deg): 95.02 95.02 119.98
Positions (direct):
Nd 0.000 0.000 0.000
Nd 0.333 0.667 0.000
Nd 0.667 0.333 0.000
Sm 0.167 0.833 0.500
Sm 0.833 0.167 0.500
Ho 0.500 0.500 0.500
Er 0.084 0.417 0.252
Er 0.250 0.250 0.748
Er 0.417 0.084 0.252
Er 0.583 0.916 0.748
Er 0.750 0.750 0.252
Er 0.916 0.583 0.748

## Properties
magnetization	0.0	Bohr magnetons per cell
total energy	-55.5	eV for the cell shown
ΔH_f (0 K)	0.0168	eV/atom
symmetry	No. 12

2.
Material: TiSiPd
Method: DFT, GGA-PBE
State: relaxed

a b c (Å): 5.709 5.709 5.709
angles (deg): 150.96 150.96 41.53
Positions (direct):
Ti 0.000 0.000 0.000
Si 0.659 0.659 0.000
Pd 0.303 0.303 0.000

## Properties
magnetization	0.0	Bohr magnetons per cell
total energy	-20.3	eV for the cell shown
raw formation energy	-588	meV/atom
symmetry	No. 107

3.
Material: TlHgAu10
Method: DFT, GGA-PBE
State: relaxed

a b c (Å): 4.697 5.632 9.719
angles (deg): 90.00 90.00 90.00
Positions (direct):
Tl 0.000 0.000 0.000
Hg 0.000 0.500 0.500
Au 0.000 0.000 0.337
Au 0.000 0.000 0.663
Au 0.000 0.500 0.172
Au 0.000 0.500 0.828
Au 0.500 0.000 0.500
Au 0.500 0.250 0.251
Au 0.500 0.250 0.749
Au 0.500 0.500 0.000
Au 0.500 0.750 0.251
Au 0.500 0.750 0.749

## Properties
magnetization	0.0	Bohr magnetons per cell
total energy	-35.1	eV for the cell shown
ΔH_f (0 K)	0.0288	eV/atom
symmetry	No. 47

4.
Material: Cd2NiP
Method: DFT, GGA-PBE
State: relaxed

a b c (Å): 8.972 8.972 8.972
angles (deg): 19.46 19.46 19.46
Positions (direct):
Cd 0.244 0.244 0.244
Cd 0.756 0.756 0.756
Ni 0.500 0.500 0.500
P 0.000 0.000 0.000

## Properties
magnetization	0.2	Bohr magnetons per cell
total energy	-11.7	eV for the cell shown
ΔH_f (0 K)	0.3357	eV/atom
symmetry	No. 166

5.
Material: HgBi2Pb3
Method: DFT, GGA-PBE
State: relaxed

a b c (Å): 3.876 3.876 12.277
angles (deg): 90.00 90.00 90.00
Positions (direct):
Hg 0.000 0.000 0.000
Bi 0.000 0.000 0.325
Bi 0.000 0.000 0.675
Pb 0.500 0.500 0.158
Pb 0.500 0.500 0.500
Pb 0.500 0.500 0.842

## Properties
magnetization	0.0	Bohr magnetons per cell
total energy	-18.9	eV for the cell shown
ΔH_f (0 K)	0.0423	eV/atom
symmetry	No. 123

6.
Material: AlCr3Hg
Method: DFT, GGA-PBE
State: relaxed

a b c (Å): 4.765 4.765 4.765
angles (deg): 90.00 90.00 90.00
Positions (direct):
Al 0.000 0.000 0.000
Cr 0.000 0.000 0.500
Cr 0.000 0.500 0.000
Cr 0.500 0.000 0.000
Hg 0.500 0.500 0.500

## Properties
magnetization	11.1	Bohr magnetons per cell
total energy	-26.8	eV for the cell shown
ΔH_f (0 K)	1.2252	eV/atom
symmetry	No. 221